Here is a relaxed structure of NdSc4Si4 from Alexandria. Energies are from GGA-PBE.

a b c (Å): 7.111 7.353 13.936
angles (deg): 90.00 90.00 90.00
Element x y z (fractional)
Nd 0.234 0.175 0.158
Nd 0.266 0.825 0.658
Nd 0.734 0.325 0.842
Nd 0.766 0.675 0.342
Sc 0.071 0.673 0.877
Sc 0.075 0.679 0.127
Sc 0.096 0.504 0.501
Sc 0.224 0.183 0.855
Sc 0.276 0.817 0.355
Sc 0.404 0.496 0.001
Sc 0.425 0.321 0.627
Sc 0.429 0.327 0.377
Sc 0.571 0.827 0.123
Sc 0.575 0.821 0.873
Sc 0.596 0.996 0.499
Sc 0.724 0.317 0.145
Sc 0.776 0.683 0.645
Sc 0.904 0.004 0.999
Sc 0.925 0.179 0.373
Sc 0.929 0.173 0.623
Si 0.026 0.373 0.002
Si 0.089 0.460 0.712
Si 0.112 0.477 0.295
Si 0.225 0.114 0.498
Si 0.275 0.886 0.998
Si 0.388 0.523 0.795
Si 0.411 0.540 0.212
Si 0.474 0.627 0.502
Si 0.526 0.127 0.998
Si 0.589 0.040 0.288
Si 0.612 0.023 0.705
Si 0.725 0.386 0.502
Si 0.775 0.614 0.002
Si 0.888 0.977 0.205
Si 0.911 0.960 0.788
Si 0.974 0.873 0.498

* distance to the lowest polymorph of the same formula: 0.0 kJ per mole of atoms
* space-group type: No. 19
* ΔE_f (raw): -0.786 eV/atom
* DOS(E_F): 33.50 states/eV per cell
* theoretical density: 4.0 g cm⁻³